Below is a geometry-optimized BaLa5Sn3 structure, with properties calculated at the PBE level.

The structure belongs to space group P6_3/mcm (No. 193); the cell edges are 9.9148, 9.9148 and 7.0328 Å and the angles 90.00°, 90.00° and 120.00°. The asymmetric unit holds Ba at (0.0000, 0.0000, 0.0000), La at (0.0000, 0.3358, 0.2500), La at (0.3333, 0.6667, 0.0000) and Sn at (0.0000, 0.3389, 0.7500).

The calculation puts the energy relative to the elements at -0.5773 eV per atom. As for the density of states at the Fermi level: 10.35 states/eV/f.u.


Below is a geometry-optimized BaLa2Sn structure, with properties calculated at the PBE level.

The structure belongs to space group P4/mmm (No. 123); the cell edges are 5.2390, 5.2390 and 5.0700 Å and the angles 90.00°, 90.00° and 90.00°. The asymmetric unit holds Ba at (0.0000, 0.0000, 0.0000), La at (0.0000, 0.5000, 0.5000) and Sn at (0.5000, 0.5000, 0.0000).

The calculation puts the energy relative to the elements at -0.3159 eV per atom. As for the density of states at the Fermi level: 5.60 states/eV/f.u.


Below is a geometry-optimized BaLaSn2 structure, with properties calculated at the PBE level.

The structure belongs to space group P4/mmm (No. 123); the cell edges are 5.3609, 5.3609 and 4.6563 Å and the angles 90.00°, 90.00° and 90.00°. The asymmetric unit holds Ba at (0.0000, 0.0000, 0.0000), La at (0.5000, 0.5000, 0.0000) and Sn at (0.0000, 0.5000, 0.5000).

The calculation puts the energy relative to the elements at -0.5778 eV per atom. As for the density of states at the Fermi level: 2.71 states/eV/f.u.


Below is a geometry-optimized BaLa2Sn structure, with properties calculated at the PBE level.

The structure belongs to space group I-42d (No. 122); the cell edges are 9.5229, 9.5229 and 7.0850 Å and the angles 90.00°, 90.00° and 90.00°. The asymmetric unit holds Ba at (0.0000, 0.0000, 0.0000), La at (0.2046, 0.2500, 0.6250) and Sn at (0.0000, 0.0000, 0.5000).

The calculation puts the energy relative to the elements at -0.1204 eV per atom. As for the density of states at the Fermi level: 6.83 states/eV/f.u.


Below is a geometry-optimized BaLa2Sn structure, with properties calculated at the PBE level.

The structure belongs to space group R3m (No. 160, hexagonal axes); the cell edges are 4.5443, 4.5443 and 30.8713 Å and the angles 90.00°, 90.00° and 120.00°. The asymmetric unit holds Ba at (0.0000, 0.0000, 0.0000), La at (0.0000, 0.0000, 0.5565), La at (0.0000, 0.0000, 0.7742) and Sn at (0.0000, 0.0000, 0.1643).

The calculation puts the energy relative to the elements at -0.1853 eV per atom. As for the density of states at the Fermi level: 5.43 states/eV/f.u.


Below is a geometry-optimized BaLaSn3 structure, with properties calculated at the PBE level.

The structure belongs to space group Pm-3m (No. 221); the cell edges are 5.9303, 5.9303 and 5.9303 Å and the angles 90.00°, 90.00° and 90.00°. The asymmetric unit holds Ba at (0.0000, 0.0000, 0.0000), La at (0.5000, 0.5000, 0.5000) and Sn at (0.0000, 0.0000, 0.5000).

As for the relative energy among the computed polymorphs: 1183 meV/atom. The calculation puts the energy relative to the elements at 0.5458 eV per atom. As for the density of states at the Fermi level: 5.35 states/eV/f.u.


Below is a geometry-optimized BaLa2TlSn structure, with properties calculated at the PBE level.

The structure belongs to space group P4/mmm (No. 123); the cell edges are 5.9150, 5.9150 and 5.9888 Å and the angles 90.00°, 90.00° and 90.00°. The asymmetric unit holds Ba at (0.0000, 0.0000, 0.0000), La at (0.0000, 0.5000, 0.0000), Tl at (0.0000, 0.0000, 0.5000) and Sn at (0.5000, 0.5000, 0.5000).

The calculation puts the energy relative to the elements at 0.8005 eV per atom. As for the density of states at the Fermi level: 9.18 states/eV/f.u.


Below is a geometry-optimized BaLaTlSn structure, with properties calculated at the PBE level.

The structure belongs to space group F-43m (No. 216); the cell edges are 8.2191, 8.2191 and 8.2191 Å and the angles 90.00°, 90.00° and 90.00°. The asymmetric unit holds Ba at (0.0000, 0.0000, 0.0000), La at (0.0000, 0.0000, 0.5000), Tl at (0.2500, 0.2500, 0.2500) and Sn at (0.2500, 0.2500, 0.7500).

The calculation puts the energy relative to the elements at -0.4653 eV per atom. As for the density of states at the Fermi level: 3.43 states/eV/f.u.


Below is a geometry-optimized BaLaV2Sn structure, with properties calculated at the PBE level.

The structure belongs to space group P4/mmm (No. 123); the cell edges are 5.2457, 5.2457 and 6.1032 Å and the angles 90.00°, 90.00° and 90.00°. The asymmetric unit holds Ba at (0.0000, 0.0000, 0.0000), La at (0.5000, 0.5000, 0.5000), V at (0.0000, 0.5000, 0.0000) and Sn at (0.0000, 0.0000, 0.5000).

The calculation puts the energy relative to the elements at 1.4710 eV per atom. As for the density of states at the Fermi level: 8.26 states/eV/f.u.


Below is a geometry-optimized BaSrLa structure, with properties calculated at the PBE level.

The structure belongs to space group P2_1/m (No. 11); the cell edges are 4.1586, 5.9338 and 12.4609 Å and the angles 90.00°, 99.36° and 90.00°. The asymmetric unit holds Ba at (0.2009, 0.2500, 0.3997), Sr at (0.3987, 0.2500, 0.7932) and La at (0.0300, 0.2500, 0.0697).

As for the relative energy among the computed polymorphs: 0 meV/atom. The calculation puts the energy relative to the elements at 0.1226 eV per atom. As for the density of states at the Fermi level: 4.71 states/eV/f.u.


Below is a geometry-optimized BaSr2La structure, with properties calculated at the PBE level.

The structure belongs to space group Immm (No. 71); the cell edges are 4.5051, 6.6324 and 13.3604 Å and the angles 90.00°, 90.00° and 90.00°. The asymmetric unit holds Ba at (0.0000, 0.0000, 0.0000), Sr at (0.0000, 0.5000, 0.2410) and La at (0.0000, 0.0000, 0.5000).

As for the relative energy among the computed polymorphs: 26 meV/atom. The calculation puts the energy relative to the elements at 0.1329 eV per atom. As for the density of states at the Fermi level: 4.33 states/eV/f.u.


Below is a geometry-optimized BaSrLa structure, with properties calculated at the PBE level.

The structure belongs to space group I4mm (No. 107); the cell edges are 4.0502, 4.0502 and 17.9504 Å and the angles 90.00°, 90.00° and 90.00°. The asymmetric unit holds Ba at (0.0000, 0.0000, 0.0000), Sr at (0.0000, 0.0000, 0.6854) and La at (0.0000, 0.0000, 0.3408).

As for the relative energy among the computed polymorphs: 16 meV/atom. The calculation puts the energy relative to the elements at 0.1383 eV per atom. As for the density of states at the Fermi level: 4.72 states/eV/f.u.


Below is a geometry-optimized BaSr2La structure, with properties calculated at the PBE level.

The structure belongs to space group Cmmm (No. 65); the cell edges are 8.2119, 12.1192 and 4.0548 Å and the angles 90.00°, 90.00° and 90.00°. The asymmetric unit holds Ba at (0.0000, 0.0000, 0.0000), Sr at (0.2500, 0.2500, 0.5000) and La at (0.0000, 0.5000, 0.0000).

As for the relative energy among the computed polymorphs: 54 meV/atom. The calculation puts the energy relative to the elements at 0.1614 eV per atom. As for the density of states at the Fermi level: 7.98 states/eV/f.u.


Below is a geometry-optimized BaSr2La structure, with properties calculated at the PBE level.

The structure belongs to space group R-3m (No. 166, hexagonal axes); the cell edges are 4.1132, 4.1132 and 41.2424 Å and the angles 90.00°, 90.00° and 120.00°. The asymmetric unit holds Ba at (0.0000, 0.0000, 0.0000), Sr at (0.0000, 0.0000, 0.2451) and La at (0.0000, 0.0000, 0.5000).

As for the relative energy among the computed polymorphs: 7 meV/atom. The calculation puts the energy relative to the elements at 0.1136 eV per atom. As for the density of states at the Fermi level: 7.31 states/eV/f.u.


Below is a geometry-optimized BaSr2La2 structure, with properties calculated at the PBE level.

The structure belongs to space group I4/mmm (No. 139); the cell edges are 4.5709, 4.5709 and 25.5370 Å and the angles 90.00°, 90.00° and 90.00°. The asymmetric unit holds Ba at (0.0000, 0.0000, 0.0000), Sr at (0.0000, 0.0000, 0.3804) and La at (0.0000, 0.5000, 0.2500).

As for the relative energy among the computed polymorphs: 90 meV/atom. The calculation puts the energy relative to the elements at 0.2921 eV per atom. As for the density of states at the Fermi level: 8.22 states/eV/f.u.


Below is a geometry-optimized BaSr2La structure, with properties calculated at the PBE level.

The structure belongs to space group Fm-3m (No. 225); the cell edges are 9.3109, 9.3109 and 9.3109 Å and the angles 90.00°, 90.00° and 90.00°. The asymmetric unit holds Ba at (0.0000, 0.0000, 0.0000), Sr at (0.2500, 0.2500, 0.2500) and La at (0.0000, 0.0000, 0.5000).

As for the relative energy among the computed polymorphs: 45 meV/atom. The calculation puts the energy relative to the elements at 0.1523 eV per atom. As for the density of states at the Fermi level: 6.74 states/eV/f.u.


Below is a geometry-optimized Ba3SrLa structure, with properties calculated at the PBE level.

The structure belongs to space group Pm-3m (No. 221); the cell edges are 6.6318, 6.6318 and 6.6318 Å and the angles 90.00°, 90.00° and 90.00°. The asymmetric unit holds Ba at (0.0000, 0.0000, 0.5000), Sr at (0.5000, 0.5000, 0.5000) and La at (0.0000, 0.0000, 0.0000).

The calculation puts the energy relative to the elements at 0.4101 eV per atom. As for the density of states at the Fermi level: 7.10 states/eV/f.u.


Below is a geometry-optimized BaSr2La structure, with properties calculated at the PBE level.

The structure belongs to space group F-43m (No. 216); the cell edges are 9.2932, 9.2932 and 9.2932 Å and the angles 90.00°, 90.00° and 90.00°. The asymmetric unit holds Ba at (0.0000, 0.0000, 0.0000), Sr at (0.0000, 0.0000, 0.5000), Sr at (0.2500, 0.2500, 0.7500) and La at (0.2500, 0.2500, 0.2500).

As for the relative energy among the computed polymorphs: 45 meV/atom. The calculation puts the energy relative to the elements at 0.1518 eV per atom. As for the density of states at the Fermi level: 6.42 states/eV/f.u.


Below is a geometry-optimized BaSr2La structure, with properties calculated at the PBE level.

The structure belongs to space group P2/m (No. 10); the cell edges are 3.9755, 6.5731 and 7.7297 Å and the angles 90.00°, 100.18° and 90.00°. The asymmetric unit holds Ba at (0.0000, 0.0000, 0.0000), Sr at (0.2425, 0.5000, 0.7400) and La at (0.5000, 0.0000, 0.5000).

As for the relative energy among the computed polymorphs: 19 meV/atom. The calculation puts the energy relative to the elements at 0.1260 eV per atom. As for the density of states at the Fermi level: 4.18 states/eV/f.u.


Below is a geometry-optimized BaSr2La structure, with properties calculated at the PBE level.

The structure belongs to space group P4/mmm (No. 123); the cell edges are 4.4715, 4.4715 and 10.2828 Å and the angles 90.00°, 90.00° and 90.00°. The asymmetric unit holds Ba at (0.0000, 0.0000, 0.0000), Sr at (0.5000, 0.5000, 0.2786) and La at (0.0000, 0.0000, 0.5000).

As for the relative energy among the computed polymorphs: 9 meV/atom. The calculation puts the energy relative to the elements at 0.1160 eV per atom. As for the density of states at the Fermi level: 5.29 states/eV/f.u.